Computed, not measured: crystalline PrGdHgBi at its relaxed geometry at the PBE-GGA level of DFT.

Output
* VASP energy: -6.326 eV/atom
* mass density: 10.0 g/cm3
* total magnetic moment: 7.7 Bohr magnetons per cell
* energy of formation from the pure elements: -0.56 eV/atom

Structure (POSCAR):
```
PrGdHgBi
1.0
5.495 0.000 0.000
2.747 4.758 0.000
2.747 1.586 4.486
Bi Pr Gd Hg
1 1 1 1
direct
0.500 0.500 0.500 Bi
0.250 0.250 0.250 Pr
0.750 0.750 0.750 Gd
0.000 0.000 0.000 Hg
```